Entry 1:
The following is a DFT calculation (PBE) of SiP2Rh after structural relaxation.

```
SiP2Rh
1.0
5.930 0.099 -0.570
3.852 4.510 0.570
-4.758 -2.587 2.484
Si P Rh
1 2 1
Direct
0.250 0.750 0.500 Si
0.595 0.595 0.000 P
0.905 0.905 0.000 P
0.750 0.250 0.500 Rh
```

Calculated values
total magnetic moment: 0.000 μB per formula unit
ΔE_f (raw): -0.03 eV/atom



Entry 2:
The following is a DFT calculation (PBE) of AgH2Au2 after structural relaxation.

```
AgH2Au2
1.0
-1.315 0.862 -3.189
-3.198 0.526 1.461
-1.119 5.388 -0.063
H Ag Au
2 1 2
Direct
0.750 0.250 0.500 H
0.250 0.750 0.500 H
0.000 0.000 0.000 Ag
0.350 0.350 0.300 Au
0.650 0.650 0.700 Au
```

Calculated values
DFT total energy: -2.914 eV/atom
total magnetic moment: 0.000 μB per formula unit



Entry 3:
The following is a DFT calculation (PBE) of CuRu2Cl after structural relaxation.

```
CuRu2Cl
1.0
2.849 0.000 0.000
0.000 2.849 0.000
0.000 0.000 7.578
Cl Ru Cu
1 2 1
Direct
0.000 0.000 0.466 Cl
0.500 0.500 0.231 Ru
0.000 0.000 0.018 Ru
0.500 0.500 0.786 Cu
```

Calculated values
total magnetic moment: 0.000 μB per formula unit
ΔE_f (raw): 0.32 eV/atom



Entry 4:
The following is a DFT calculation (PBE) of KTlBi2Pb after structural relaxation.

```
KTlBi2Pb
1.0
-2.535 3.018 4.562
-5.208 -0.183 -2.773
-1.276 -5.215 2.741
Bi Pb K Tl
2 1 1 1
Direct
0.000 0.000 0.500 Bi
0.500 0.000 0.000 Bi
0.000 0.500 0.000 Pb
0.500 0.500 0.500 K
0.000 0.000 0.000 Tl
```

Calculated values
formation energy from the elements: 0.3063 eV/atom
total magnetic moment: 0.000 μB per formula unit



Entry 5:
The following is a DFT calculation (PBE) of MnNi2Cl after structural relaxation.

```
MnNi2Cl
1.0
-2.173 1.726 -7.029
-3.458 -0.881 -6.661
-4.758 1.547 -5.663
Ni Cl Mn
2 1 1
Direct
0.001 0.001 0.001 Ni
0.499 0.499 0.499 Ni
0.250 0.250 0.250 Cl
0.750 0.750 0.750 Mn
```

Calculated values
total magnetic moment: 4.412 μB per formula unit
ΔE_f (raw): 0.22 eV/atom



Entry 6:
The following is a DFT calculation (PBE) of BeNb2ReN after structural relaxation.

```
BeNb2ReN
1.0
-1.482 3.178 2.723
1.129 -2.478 3.507
3.002 1.388 0.015
Re N Be Nb
1 1 1 2
Direct
0.500 0.500 0.500 Re
0.000 0.000 0.000 N
0.000 0.000 0.500 Be
0.000 0.500 0.000 Nb
0.500 0.000 0.000 Nb
```

Calculated values
total magnetic moment: 0.000 μB per formula unit
ΔE_f (raw): -0.45 eV/atom



Entry 7:
The following is a DFT calculation (PBE) of AcPaRu2 after structural relaxation.

```
AcPaRu2
1.0
-2.026 3.361 -2.125
-3.408 -0.835 -2.757
-5.507 1.396 2.773
Ru Ac Pa
2 1 1
Direct
0.705 0.705 0.885 Ru
0.295 0.295 0.115 Ru
0.500 0.500 0.500 Ac
0.000 0.000 0.000 Pa
```

Calculated values
formation energy from the elements: -0.4441 eV/atom
total magnetic moment: 0.000 μB per formula unit



Entry 8:
The following is a DFT calculation (PBE) of CsKHgH2 after structural relaxation.

```
CsKHgH2
1.0
-1.230 -4.611 -3.089
5.715 -2.842 1.966
-2.672 -2.281 4.469
H K Cs Hg
2 1 1 1
Direct
0.500 0.000 0.000 H
0.000 0.000 0.500 H
0.500 0.500 0.500 K
0.000 0.000 0.000 Cs
0.000 0.500 0.000 Hg
```

Calculated values
DFT total energy: -1.485 eV/atom
total magnetic moment: 0.000 μB per formula unit



Entry 9:
The following is a DFT calculation (PBE) of HfTiGaHg after structural relaxation.

```
HfTiGaHg
1.0
-0.597 1.919 4.296
-1.824 -2.597 3.524
2.755 -1.366 3.611
Hf Ga Hg Ti
1 1 1 1
Direct
0.000 0.000 0.000 Hf
0.250 0.250 0.250 Ga
0.750 0.750 0.750 Hg
0.500 0.500 0.500 Ti
```

Calculated values
formation energy from the elements: -0.1065 eV/atom
total magnetic moment: 0.722 μB per formula unit



Entry 10:
The following is a DFT calculation (PBE) of InTcBr2 after structural relaxation.

```
InTcBr2
1.0
0.000 3.711 3.711
3.711 0.000 3.711
3.711 3.711 0.000
In Tc Br
1 1 2
Direct
0.500 0.500 0.500 In
0.000 0.000 0.000 Tc
0.250 0.250 0.250 Br
0.750 0.750 0.750 Br
```

Calculated values
total magnetic moment: 4.000 μB per formula unit
ΔE_f (raw): 0.53 eV/atom



Entry 11:
The following is a DFT calculation (PBE) of MgSnTeCl2 after structural relaxation.

```
MgSnTeCl2
1.0
-1.377 -0.298 -4.552
5.465 -2.305 -1.502
-1.642 -4.404 0.785
Mg Te Cl Sn
1 1 2 1
Direct
0.000 0.000 0.000 Mg
0.000 0.500 0.000 Te
0.500 0.000 0.000 Cl
0.000 0.000 0.500 Cl
0.500 0.500 0.500 Sn
```

Calculated values
total magnetic moment: 0.000 μB per formula unit
ΔE_f (raw): -0.91 eV/atom



Entry 12:
The following is a DFT calculation (PBE) of BeZn3W after structural relaxation.

```
BeZn3W
1.0
4.877 0.000 0.000
0.000 4.877 0.000
0.000 0.000 4.877
Zn W Be
3 1 1
Direct
0.000 0.500 0.000 Zn
0.500 0.000 0.000 Zn
0.000 0.000 0.500 Zn
0.000 0.000 0.000 W
0.500 0.500 0.500 Be
```

Calculated values
formation energy from the elements: 1.6311 eV/atom
total magnetic moment: 0.000 μB per formula unit



Entry 13:
The following is a DFT calculation (PBE) of Bi2Se2Cl after structural relaxation.

```
Bi2Se2Cl
1.0
4.357 0.002 0.001
2.178 3.773 0.001
2.177 1.257 10.326
Se Bi Cl
2 2 1
Direct
0.226 0.726 0.321 Se
0.774 0.274 0.679 Se
0.603 0.103 0.191 Bi
0.397 0.897 0.809 Bi
0.000 0.500 0.000 Cl
```

Calculated values
total magnetic moment: 0.000 μB per formula unit
ΔE_f (raw): -0.40 eV/atom



Entry 14:
The following is a DFT calculation (PBE) of FeCuPt2 after structural relaxation.

```
FeCuPt2
1.0
-2.484 -1.207 0.143
0.903 -1.480 3.200
-2.020 4.471 2.638
Pt Cu Fe
2 1 1
Direct
0.000 0.000 0.000 Pt
0.000 0.000 0.500 Pt
0.500 0.500 0.250 Cu
0.500 0.500 0.750 Fe
```

Calculated values
formation energy from the elements: -0.2378 eV/atom
total magnetic moment: 3.851 μB per formula unit